(1)
Entry from Alexandria: crystalline TmMnNi17 at its relaxed geometry (PBE).

Cell and atoms, written as CIF:
```
data_TmMnNi17
_chemical_formula_sum 'Tm1 Mn1 Ni17'
_space_group_name_H-M_alt 'P 1'
_space_group_IT_number 1
_cell_length_a 6.184
_cell_length_b 6.184
_cell_length_c 6.184
_cell_angle_alpha 82.70
_cell_angle_beta 82.70
_cell_angle_gamma 82.70
loop_
_space_group_symop_operation_xyz
'x,y,z'
loop_
_atom_site_label
_atom_site_fract_x
_atom_site_fract_y
_atom_site_fract_z
_atom_site_occupancy
Tm1 0.000 0.000 0.000 1
Mn1 0.675 0.675 0.675 1
Ni1 0.040 0.343 0.637 1
Ni2 0.040 0.637 0.343 1
Ni3 0.197 0.685 0.685 1
Ni4 0.243 0.243 0.243 1
Ni5 0.335 0.335 0.846 1
Ni6 0.335 0.846 0.335 1
Ni7 0.343 0.040 0.637 1
Ni8 0.343 0.637 0.040 1
Ni9 0.443 0.443 0.443 1
Ni10 0.506 0.986 0.986 1
Ni11 0.637 0.040 0.343 1
Ni12 0.637 0.343 0.040 1
Ni13 0.685 0.197 0.685 1
Ni14 0.685 0.685 0.197 1
Ni15 0.846 0.335 0.335 1
Ni16 0.986 0.506 0.986 1
Ni17 0.986 0.986 0.506 1
```

Formation enthalpy at 0 K in kJ/mol of atoms: -4.1
Space-group type: R3m, No. 160
Total DFT energy (no corrections) in eV per atom: -5.9328

---

(2)
Entry from Alexandria: crystalline CsNpPbBr6 at its relaxed geometry (PBE).

Cell and atoms, written as CIF:
```
data_CsNpPbBr6
_chemical_formula_sum 'Cs2 Np2 Pb2 Br12'
_space_group_name_H-M_alt 'P 1'
_space_group_IT_number 1
_cell_length_a 10.749
_cell_length_b 10.749
_cell_length_c 10.749
_cell_angle_alpha 121.48
_cell_angle_beta 118.77
_cell_angle_gamma 89.80
loop_
_space_group_symop_operation_xyz
'x,y,z'
loop_
_atom_site_label
_atom_site_fract_x
_atom_site_fract_y
_atom_site_fract_z
_atom_site_occupancy
Cs1 0.333 0.083 0.250 1
Cs2 0.667 0.917 0.750 1
Np1 0.000 0.500 0.500 1
Np2 0.500 0.500 0.000 1
Pb1 0.000 0.000 0.500 1
Pb2 0.000 0.500 0.000 1
Br1 0.089 0.421 0.262 1
Br2 0.089 0.827 0.668 1
Br3 0.096 0.846 0.250 1
Br4 0.311 0.561 0.750 1
Br5 0.341 0.173 0.762 1
Br6 0.341 0.579 0.168 1
Br7 0.659 0.421 0.832 1
Br8 0.659 0.827 0.238 1
Br9 0.689 0.439 0.250 1
Br10 0.904 0.154 0.750 1
Br11 0.911 0.173 0.332 1
Br12 0.911 0.579 0.738 1
```

Raw formation energy in eV per formula unit: -11.31
Space-group type: Imma, No. 74
Total DFT energy (no corrections) in eV per atom: -4.3169

---

(3)
Entry from Alexandria: crystalline FeMo2HRh at its relaxed geometry (PBE).

Cell and atoms, written as CIF:
```
data_FeMo2HRh
_chemical_formula_sum 'Fe1 Mo2 H1 Rh1'
_space_group_name_H-M_alt 'P 1'
_space_group_IT_number 1
_cell_length_a 3.921
_cell_length_b 3.921
_cell_length_c 3.817
_cell_angle_alpha 90.00
_cell_angle_beta 90.00
_cell_angle_gamma 90.00
loop_
_space_group_symop_operation_xyz
'x,y,z'
loop_
_atom_site_label
_atom_site_fract_x
_atom_site_fract_y
_atom_site_fract_z
_atom_site_occupancy
Fe1 0.000 0.000 0.000 1
Mo1 0.000 0.500 0.500 1
Mo2 0.500 0.000 0.500 1
H1 0.500 0.500 0.500 1
Rh1 0.500 0.500 0.000 1
```

Space-group type: P4/mmm, No. 123
Total DFT energy (no corrections) in eV per atom: -8.1001

---

Q: Look up the total DFT energy (no corrections) of the third one.
A: -8.1001 eV per atom